Entry from Alexandria: a relaxed structure of LiCaTa2 (PBE-GGA). Values from VASP.

Cell and atoms, written as Quantum ESPRESSO input:
```
&SYSTEM
  ibrav = 0, nat = 4, ntyp = 3
/
ATOMIC_SPECIES
Ca 40.08 Ca.upf
Ta 180.95 Ta.upf
Li 6.94 Li.upf
CELL_PARAMETERS angstrom
6.1727 0.0119 0.0125
5.4189 2.9560 0.0125
1.8685 0.4784 4.4121
ATOMIC_POSITIONS crystal
Ca 0.7500 0.7500 0.7500
Ta 0.5233 0.5233 0.4767
Ta 0.9767 0.9767 0.0233
Li 0.2500 0.2500 0.2500
```

Computed properties:
formation energy = 187.4 kJ/mol of formula units
M_tot = 0.00 μB/cell
symmetry = No. 71
polymorph energy (0 for the lowest one) = 0.074 eV per atom


Entry from Alexandria: a relaxed structure of LiCaTa2 (PBE-GGA). Values from VASP.

Cell and atoms, written as Quantum ESPRESSO input:
```
&SYSTEM
  ibrav = 0, nat = 4, ntyp = 3
/
ATOMIC_SPECIES
Ca 40.08 Ca.upf
Ta 180.95 Ta.upf
Li 6.94 Li.upf
CELL_PARAMETERS angstrom
-0.5809 -5.6817 2.0902
1.9106 -1.9890 5.4204
-3.1275 4.4956 -2.6450
ATOMIC_POSITIONS crystal
Ca 0.2500 0.7500 0.5000
Ta 0.0000 0.0000 0.0000
Ta 0.5000 0.5000 0.0000
Li 0.7500 0.2500 0.5000
```

Computed properties:
formation energy = 263.3 kJ/mol of formula units
M_tot = 0.00 μB/cell
symmetry = No. 139
polymorph energy (0 for the lowest one) = 0.270 eV per atom


Entry from Alexandria: a relaxed structure of LiCaTa2 (PBE-GGA). Values from VASP.

Cell and atoms, written as Quantum ESPRESSO input:
```
&SYSTEM
  ibrav = 0, nat = 4, ntyp = 3
/
ATOMIC_SPECIES
Ta 180.95 Ta.upf
Li 6.94 Li.upf
Ca 40.08 Ca.upf
CELL_PARAMETERS angstrom
-3.9579 2.4671 2.9637
-1.8250 -2.3210 -0.5051
1.1859 -2.8801 3.9812
ATOMIC_POSITIONS crystal
Ta 0.0000 0.5328 0.5132
Ta 0.0000 0.9672 0.9868
Li 0.5000 0.7500 0.7500
Ca 0.5000 0.2500 0.2500
```

Computed properties:
formation energy = 216.9 kJ/mol of formula units
M_tot = 0.00 μB/cell
symmetry = No. 10
polymorph energy (0 for the lowest one) = 0.150 eV per atom


Entry from Alexandria: a relaxed structure of LiCaTa2 (PBE-GGA). Values from VASP.

Cell and atoms, written as Quantum ESPRESSO input:
```
&SYSTEM
  ibrav = 0, nat = 8, ntyp = 3
/
ATOMIC_SPECIES
Ta 180.95 Ta.upf
Li 6.94 Li.upf
Ca 40.08 Ca.upf
CELL_PARAMETERS angstrom
3.8895 0.0000 0.0000
0.0000 3.8895 0.0000
1.9448 1.9448 11.2510
ATOMIC_POSITIONS crystal
Ta 0.3750 0.8675 0.7500
Ta 0.8750 0.3825 0.7500
Ta 0.6175 0.6250 0.2500
Ta 0.1325 0.1250 0.2500
Li 0.5000 0.5000 0.0000
Li 0.2500 0.7500 0.5000
Ca 0.7500 0.2500 0.5000
Ca 0.0000 0.0000 0.0000
```

Computed properties:
formation energy = 323.2 kJ/mol of formula units
M_tot = 0.00 μB/cell
symmetry = No. 122
polymorph energy (0 for the lowest one) = 0.425 eV per atom


Entry from Alexandria: a relaxed structure of LiCaTa2 (PBE-GGA). Values from VASP.

Cell and atoms, written as Quantum ESPRESSO input:
```
&SYSTEM
  ibrav = 0, nat = 4, ntyp = 3
/
ATOMIC_SPECIES
Ca 40.08 Ca.upf
Ta 180.95 Ta.upf
Li 6.94 Li.upf
CELL_PARAMETERS angstrom
11.0787 0.0112 0.0066
10.6880 2.9161 0.0066
10.6880 1.4374 2.5372
ATOMIC_POSITIONS crystal
Ca 0.2500 0.2500 0.2500
Ta 0.0035 0.0035 0.0035
Ta 0.4965 0.4965 0.4965
Li 0.7500 0.7500 0.7500
```

Computed properties:
formation energy = 255.5 kJ/mol of formula units
M_tot = 0.00 μB/cell
symmetry = No. 166
polymorph energy (0 for the lowest one) = 0.250 eV per atom


Entry from Alexandria: a relaxed structure of LiCaTa2 (PBE-GGA). Values from VASP.

Cell and atoms, written as Quantum ESPRESSO input:
```
&SYSTEM
  ibrav = 0, nat = 4, ntyp = 3
/
ATOMIC_SPECIES
Li 6.94 Li.upf
Ta 180.95 Ta.upf
Ca 40.08 Ca.upf
CELL_PARAMETERS angstrom
-0.4571 2.3822 1.3772
1.7782 -2.3017 4.5715
5.1021 1.6470 -1.1554
ATOMIC_POSITIONS crystal
Li 0.5000 0.5000 0.7500
Ta 0.0000 0.0000 0.0010
Ta 0.0000 0.0000 0.4990
Ca 0.5000 0.5000 0.2500
```

Computed properties:
formation energy = 282.2 kJ/mol of formula units
M_tot = 0.00 μB/cell
symmetry = No. 47
polymorph energy (0 for the lowest one) = 0.319 eV per atom


Entry from Alexandria: a relaxed structure of LiCaTaZn2 (PBE-GGA). Values from VASP.

Cell and atoms, written as Quantum ESPRESSO input:
```
&SYSTEM
  ibrav = 0, nat = 5, ntyp = 4
/
ATOMIC_SPECIES
Zn 65.41 Zn.upf
Ta 180.95 Ta.upf
Ca 40.08 Ca.upf
Li 6.94 Li.upf
CELL_PARAMETERS angstrom
5.3293 0.0000 0.0000
0.0000 5.3128 0.0000
0.0000 0.0000 5.3293
ATOMIC_POSITIONS crystal
Zn 0.0000 0.0000 0.5000
Zn 0.5000 0.0000 0.0000
Ta 0.0000 0.5000 0.0000
Ca 0.0000 0.0000 0.0000
Li 0.5000 0.5000 0.5000
```

Computed properties:
formation energy = 746.7 kJ/mol of formula units
M_tot = 1.73 μB/cell
symmetry = No. 123


Entry from Alexandria: a relaxed structure of Li4CaTb (PBE-GGA). Values from VASP.

Cell and atoms, written as Quantum ESPRESSO input:
```
&SYSTEM
  ibrav = 0, nat = 6, ntyp = 3
/
ATOMIC_SPECIES
Li 6.94 Li.upf
Tb 158.93 Tb.upf
Ca 40.08 Ca.upf
CELL_PARAMETERS angstrom
6.0099 0.0000 0.0000
3.0049 5.2047 0.0000
3.0049 1.7349 4.9070
ATOMIC_POSITIONS crystal
Li 0.6252 0.6252 0.1243
Li 0.6252 0.6252 0.6252
Li 0.1243 0.6252 0.6252
Li 0.6252 0.1243 0.6252
Tb 0.0000 0.0000 0.0000
Ca 0.2500 0.2500 0.2500
```

Computed properties:
formation energy = 50.8 kJ/mol of formula units
M_tot = 0.00 μB/cell
symmetry = No. 216


Entry from Alexandria: a relaxed structure of LiCaTb (PBE-GGA). Values from VASP.

Cell and atoms, written as Quantum ESPRESSO input:
```
&SYSTEM
  ibrav = 0, nat = 6, ntyp = 3
/
ATOMIC_SPECIES
Tb 158.93 Tb.upf
Ca 40.08 Ca.upf
Li 6.94 Li.upf
CELL_PARAMETERS angstrom
-3.3319 1.4343 -0.6188
-1.9633 -2.5547 4.6500
3.8334 6.3991 5.1342
ATOMIC_POSITIONS crystal
Tb 0.2258 0.7500 0.4517
Tb 0.7742 0.2500 0.5483
Ca 0.0902 0.2500 0.1804
Ca 0.9098 0.7500 0.8196
Li 0.4261 0.2500 0.8522
Li 0.5739 0.7500 0.1478
```

Computed properties:
formation energy = 17.1 kJ/mol of formula units
M_tot = 0.00 μB/cell
symmetry = No. 63
polymorph energy (0 for the lowest one) = 0.000 eV per atom


Entry from Alexandria: a relaxed structure of LiCaTb (PBE-GGA). Values from VASP.

Cell and atoms, written as Quantum ESPRESSO input:
```
&SYSTEM
  ibrav = 0, nat = 3, ntyp = 3
/
ATOMIC_SPECIES
Tb 158.93 Tb.upf
Li 6.94 Li.upf
Ca 40.08 Ca.upf
CELL_PARAMETERS angstrom
3.5925 0.0000 0.0000
-1.7963 3.1112 0.0000
0.0000 0.0000 8.5433
ATOMIC_POSITIONS crystal
Tb 0.0000 0.0000 0.0162
Li 0.6667 0.3333 0.3256
Ca 0.3333 0.6667 0.6582
```

Computed properties:
formation energy = 46.0 kJ/mol of formula units
M_tot = 0.00 μB/cell
symmetry = No. 156
polymorph energy (0 for the lowest one) = 0.100 eV per atom


Entry from Alexandria: a relaxed structure of LiCaTb (PBE-GGA). Values from VASP.

Cell and atoms, written as Quantum ESPRESSO input:
```
&SYSTEM
  ibrav = 0, nat = 3, ntyp = 3
/
ATOMIC_SPECIES
Tb 158.93 Tb.upf
Ca 40.08 Ca.upf
Li 6.94 Li.upf
CELL_PARAMETERS angstrom
-0.2051 -2.9586 -2.2237
3.5021 0.5653 -1.0751
0.5190 -2.7145 6.6531
ATOMIC_POSITIONS crystal
Tb 0.3142 0.3142 0.6283
Ca 0.0160 0.0160 0.0320
Li 0.6698 0.6698 0.3396
```

Computed properties:
formation energy = 39.8 kJ/mol of formula units
M_tot = 0.22 μB/cell
symmetry = No. 107
polymorph energy (0 for the lowest one) = 0.079 eV per atom


Entry from Alexandria: a relaxed structure of LiCa4Tb3Te8 (PBE-GGA). Values from VASP.

Cell and atoms, written as Quantum ESPRESSO input:
```
&SYSTEM
  ibrav = 0, nat = 16, ntyp = 4
/
ATOMIC_SPECIES
Te 127.60 Te.upf
Li 6.94 Li.upf
Tb 158.93 Tb.upf
Ca 40.08 Ca.upf
CELL_PARAMETERS angstrom
8.8403 0.0000 0.0000
0.0000 8.8816 0.0230
-4.4201 -4.4161 6.2543
ATOMIC_POSITIONS crystal
Te 0.7545 0.2586 0.0041
Te 0.7505 0.7414 0.9959
Te 0.2495 0.2586 0.0041
Te 0.7545 0.2585 0.5089
Te 0.2455 0.7414 0.9959
Te 0.2455 0.7415 0.4911
Te 0.2514 0.2542 0.5028
Te 0.7486 0.7458 0.4972
Li 0.0000 0.5000 0.0000
Tb 0.0000 0.5000 0.5000
Tb 0.5000 0.5000 0.0000
Tb 0.5000 0.5000 0.5000
Ca 0.5000 0.0000 0.0000
Ca 0.0000 0.0000 0.5000
Ca 0.0000 0.0000 0.0000
Ca 0.5000 0.0000 0.5000
```

Computed properties:
formation energy (no corrections) = -2271 kJ/mol of formula units
M_tot = 0.00 μB/cell
symmetry = No. 166


Number 1: electronic total energy -25.68 eV/f.u.. Number 2: electronic total energy -24.89 eV/f.u.. Number 3: electronic total energy -25.37 eV/f.u.. Number 4: electronic total energy -24.27 eV/f.u.. Number 5: electronic total energy -24.97 eV/f.u.. Number 6: electronic total energy -24.70 eV/f.u.. Number 7: electronic total energy -10.58 eV/f.u.. Number 8: electronic total energy -13.76 eV/f.u.. Number 9: electronic total energy -8.37 eV/f.u.. Number 10: electronic total energy -8.07 eV/f.u.. Number 11: electronic total energy -8.13 eV/f.u.. Number 12: electronic total energy -72.49 eV/f.u..